# V5Tc6W

An optimized crystal structure of V5Tc6W (PBE, the Alexandria database).

Cell lengths 4.3164, 6.1034, 7.4496 Å; angles 114.18, 106.85, 90.00 degrees
Fractional positions:
1 V 0.6674 0.6674 0.3347
2 V 0.3322 0.8322 0.6643
3 V 0.3326 0.3326 0.6653
4 V 0.0000 0.5000 0.0000
5 V 0.6678 0.1678 0.3357
6 Tc 0.8319 0.5799 0.6639
7 Tc 0.8319 0.0840 0.6639
8 Tc 0.1681 0.9160 0.3361
9 Tc 0.5000 0.2541 0.0000
10 Tc 0.5000 0.7459 0.0000
11 Tc 0.1681 0.4201 0.3361
12 W 0.0000 0.0000 0.0000

Results
The crystal system is orthorhombic. The formation energy comes out at -310.7 meV/atom. The calculation puts the density of states at the Fermi level at 5.72 states/eV/f.u.

# V2TcW6

An optimized crystal structure of V2TcW6 (PBE, the Alexandria database).

Cell lengths 4.5325, 5.4020, 9.1361 Å; angles 134.83, 104.37, 90.07 degrees
Fractional positions:
1 W 0.2935 0.9371 0.5869
2 W 0.7004 0.5404 0.4013
3 W 0.7065 0.0629 0.4131
4 W 0.5032 0.7510 0.0063
5 W 0.2996 0.4596 0.5987
6 W 0.4968 0.2490 0.9937
7 V 0.9018 0.3321 0.8036
8 V 0.0982 0.6679 0.1964
9 Tc 0.0000 0.0000 0.0000

Results
The crystal system is triclinic. Its energy above the most stable polymorph in this dataset is 0.377 eV per atom. The formation energy comes out at 438.5 meV/atom. The calculation puts the density of states at the Fermi level at 7.90 states/eV/f.u.

Question: The highest density of states at the Fermi level belongs to which entry?
Answer: V2TcW6

Question: Which of these has the lowest density of states at the Fermi level?
Answer: V5Tc6W